Below is an optimized crystal structure of Rb2SiRh, with properties calculated at the PBE-GGA level.

Results
Magnetization in μB per cell: 0.00
Raw total energy in eV/cell: -56.54
Energy relative to the elements, uncorrected in eV/atom: 0.143

Geometry as CIF:
```
data_Rb2SiRh
_chemical_formula_sum 'Rb8 Si4 Rh4'
_symmetry_space_group_name_H-M 'I -4 2 d'
_symmetry_Int_Tables_number 122
_symmetry_space_group_name_Hall 'I -4 2bw'
_cell_length_a 12.964
_cell_length_b 12.964
_cell_length_c 4.497
_cell_angle_alpha 90.00
_cell_angle_beta 90.00
_cell_angle_gamma 90.00
loop_
_atom_site_label
_atom_site_type_symbol
_atom_site_fract_x
_atom_site_fract_y
_atom_site_fract_z
Rb1 Rb 0.041 0.250 0.125
Si1 Si 0.000 0.000 0.500
Rh1 Rh 0.000 0.000 0.000
```

=====

Below is an optimized crystal structure of Rb3SiRh, with properties calculated at the PBE-GGA level.

Results
Magnetization in μB per cell: 4.00
Raw total energy in eV/cell: -10.19
Energy relative to the elements, uncorrected in eV/atom: 1.098

Geometry as CIF:
```
data_Rb3SiRh
_chemical_formula_sum 'Rb3 Si1 Rh1'
_symmetry_space_group_name_H-M 'P m -3 m'
_symmetry_Int_Tables_number 221
_symmetry_space_group_name_Hall '-P 4 2 3'
_cell_length_a 6.671
_cell_length_b 6.671
_cell_length_c 6.671
_cell_angle_alpha 90.00
_cell_angle_beta 90.00
_cell_angle_gamma 90.00
loop_
_atom_site_label
_atom_site_type_symbol
_atom_site_fract_x
_atom_site_fract_y
_atom_site_fract_z
Rb1 Rb 0.000 0.000 0.500
Si1 Si 0.000 0.000 0.000
Rh1 Rh 0.500 0.500 0.500
```